(1)
Compound: Ac8Dy3Tm2
Source: the Alexandria database
Functional: GGA-PBE
Structure: optimized geometry

a b c (Å): 6.6067 6.6366 12.0115
angles (deg): 90.04 100.67 99.71
With the nearest neighbours (Å) after each atom.
Fractional coordinates of all 13 atoms:
Ac 0.0437 0.4164 0.1503  6 Ac 3.75-3.89, 5 Dy 3.75-3.87, 1 Tm 3.85
Ac 0.1967 0.1162 0.7749  4 Dy 3.69-3.85, 6 Ac 3.80-3.89, 2 Tm 3.84-3.85
Ac 0.3380 0.8065 0.3849  4 Tm 3.73-3.87, 7 Ac 3.79-3.88, 1 Dy 3.85
Ac 0.4195 0.6535 0.6917  3 Tm 3.77-3.86, 7 Ac 3.79-3.86, 2 Dy 3.81-3.83
Ac 0.5805 0.3465 0.3083  3 Tm 3.77-3.86, 7 Ac 3.79-3.86, 2 Dy 3.81-3.83
Ac 0.6620 0.1935 0.6152  4 Tm 3.73-3.87, 7 Ac 3.79-3.88, 1 Dy 3.85
Ac 0.8033 0.8838 0.2251  4 Dy 3.69-3.85, 6 Ac 3.80-3.89, 2 Tm 3.84-3.85
Ac 0.9563 0.5836 0.8497  6 Ac 3.75-3.89, 5 Dy 3.75-3.87, 1 Tm 3.85
Dy 0.2748 0.9618 0.0732  4 Dy 3.69-3.85, 8 Ac 3.69-3.87
Dy 0.5000 0.5000 0.0000  8 Ac 3.75-3.84, 4 Dy 3.79-3.80
Dy 0.7252 0.0382 0.9268  4 Dy 3.69-3.85, 8 Ac 3.69-3.87
Tm 0.1112 0.2662 0.4631  10 Ac 3.73-3.87, 2 Tm 3.76-3.82
Tm 0.8888 0.7338 0.5369  10 Ac 3.73-3.87, 2 Tm 3.76-3.82

=====

(2)
Compound: AcDy2Tm5
Source: the Alexandria database
Functional: GGA-PBE
Structure: optimized geometry

a b c (Å): 7.0930 7.0930 7.0930
angles (deg): 119.65 119.65 90.60
With the nearest neighbours (Å) after each atom.
Fractional coordinates of all 8 atoms:
Ac 0.0000 0.0000 0.0000  8 Tm 3.55, 4 Dy 3.57
Dy 0.0000 0.5000 0.5000  10 Tm 3.55-3.57, 2 Ac 3.57
Dy 0.5000 0.0000 0.5000  10 Tm 3.55-3.57, 2 Ac 3.57
Tm 0.0000 0.0000 0.5000  6 Tm 3.55-3.57, 4 Dy 3.55, 2 Ac 3.55
Tm 0.0000 0.5000 0.0000  6 Tm 3.55-3.57, 4 Dy 3.55, 2 Ac 3.55
Tm 0.5000 0.0000 0.0000  6 Tm 3.55-3.57, 4 Dy 3.55, 2 Ac 3.55
Tm 0.5000 0.5000 0.0000  8 Tm 3.55, 4 Dy 3.57
Tm 0.5000 0.5000 0.5000  6 Tm 3.55-3.57, 4 Dy 3.55, 2 Ac 3.55

=====

(3)
Compound: AcDy12Tm2
Source: the Alexandria database
Functional: GGA-PBE
Structure: optimized geometry

a b c (Å): 3.5821 5.5831 24.3850
angles (deg): 90.00 94.19 90.00
With the nearest neighbours (Å) after each atom.
Fractional coordinates of all 15 atoms:
Ac 0.0000 0.0000 0.0000  10 Dy 3.49-3.83, 2 Ac 3.58
Dy 0.0700 0.0000 0.1435  2 Dy 3.16, 1 Ac 3.49
Dy 0.0996 0.5000 0.2048  3 Dy 3.08-3.16
Dy 0.1652 0.5000 0.3314  3 Dy 3.08-3.30
Dy 0.2149 0.0000 0.4254  8 Dy 3.35-3.61
Dy 0.2757 0.5000 0.5549  10 Dy 3.21-3.58
Dy 0.4624 0.5000 0.9214  9 Dy 3.55-3.82, 4 Ac 3.83
Dy 0.5376 0.5000 0.0786  9 Dy 3.55-3.82, 4 Ac 3.83
Dy 0.7243 0.5000 0.4451  10 Dy 3.21-3.58
Dy 0.7851 0.0000 0.5746  8 Dy 3.35-3.61
Dy 0.8348 0.5000 0.6686  3 Dy 3.08-3.30
Dy 0.9004 0.5000 0.7952  3 Dy 3.08-3.16
Dy 0.9300 0.0000 0.8565  2 Dy 3.16, 1 Ac 3.49
Tm 0.3647 0.0000 0.7256  2 Tm 3.58, 10 Dy 3.59-3.73
Tm 0.6353 0.0000 0.2744  2 Tm 3.58, 10 Dy 3.59-3.73

=====

(4)
Compound: Ac2DyTm
Source: the Alexandria database
Functional: GGA-PBE
Structure: optimized geometry

a b c (Å): 13.2022 13.2022 13.2022
angles (deg): 16.05 16.05 16.05
With the nearest neighbours (Å) after each atom.
Fractional coordinates of all 4 atoms:
Ac 0.0884 0.0884 0.0884  1 Tm 3.46, 6 Ac 3.69, 3 Dy 3.73
Ac 0.9116 0.9116 0.9116  1 Tm 3.46, 6 Ac 3.69, 3 Dy 3.73
Dy 0.5000 0.5000 0.5000  6 Dy 3.69, 6 Ac 3.73
Tm 0.0000 0.0000 0.0000  2 Ac 3.46, 6 Tm 3.69

=====

no.,total magnetic moment (μB/f.u.),E_form (kJ/mol of formula units)
1,0.00,84.9
2,0.03,34.1
3,0.00,168.9
4,0.00,103.4